## InPBr2 (PBE)

Data for a relaxed structure of InPBr2.

Properties
total magnetic moment: 1.968 μB per cell
final energy: -2.4631 eV per atom
formation energy from raw total energies: 410 meV/atom
polymorph energy (0 for the lowest one): 0.805 eV per atom

extended XYZ file:
```
4
Lattice="1.672 -3.875 3.262 -2.292 -4.812 -0.182 2.692 -4.164 -1.965" Properties=species:S:1:pos:R:3 pbc="T T T"
Br 0.518 -3.213 0.279
Br 1.554 -9.638 0.836
P 0.000 0.000 0.000
In 1.036 -6.426 0.557
```